Record 1
Tc2BSb SCAN PBEsol geometry; calculated total energy = -1.0328 Ha/atom; N(E_F) = 2.7 states/eV per cell; symmetry = Fm-3m (225); formation energy from raw total energies = 0.598 eV/atom
1.0
4.2531 0.0000 0.0000
2.1265 3.6833 0.0000
2.1265 1.2278 3.4726
B Sb Tc
1 1 2
Cartesian
0.0000 0.0000 0.0000 B
4.2531 2.4555 1.7363 Sb
6.3796 3.6833 2.6045 Tc
2.1265 1.2278 0.8682 Tc

Record 2
BSbTe2 SCAN PBEsol geometry; calculated total energy = -1.0740 Ha/atom; N(E_F) = 3.9 states/eV per cell; symmetry = I-42d (122); formation energy from raw total energies = 0.572 eV/atom
1.0
6.4643 0.1276 0.1846
-2.9735 5.7413 -0.1846
-2.9735 -2.2040 5.3046
Te Sb B
4 2 2
Cartesian
3.9319 2.9321 0.7323 Te
-2.2737 3.3387 4.0969 Te
-1.9278 -0.1516 3.2923 Te
1.3044 1.2104 2.4877 Te
0.0000 0.0000 0.0000 Sb
0.2587 3.8187 1.2800 Sb
-2.9735 1.7686 2.5600 B
0.2587 -0.1539 4.0246 B

Record 3
Tl2BSbTe SCAN PBEsol geometry; calculated total energy = -1.6117 Ha/atom; N(E_F) = 4.6 states/eV per cell; symmetry = P4/mmm (123); formation energy from raw total energies = 1.474 eV/atom
1.0
5.6025 0.0000 0.0000
0.0000 6.2037 0.0000
0.0000 0.0000 6.2037
Te B Tl Sb
1 1 2 1
Cartesian
0.0000 0.0000 0.0000 Te
2.8012 3.1018 3.1018 B
0.0000 0.0000 3.1018 Tl
0.0000 3.1018 0.0000 Tl
2.8012 0.0000 0.0000 Sb

Record 4
TlBSb3 SCAN PBEsol geometry; calculated total energy = -1.3822 Ha/atom; N(E_F) = 2.6 states/eV per cell; symmetry = Pm-3m (221); formation energy from raw total energies = 0.702 eV/atom
1.0
4.8952 0.0000 0.0000
0.0000 4.8952 0.0000
0.0000 0.0000 4.8952
B Sb Tl
1 3 1
Cartesian
0.0000 0.0000 0.0000 B
0.0000 0.0000 2.4476 Sb
2.4476 0.0000 0.0000 Sb
0.0000 2.4476 0.0000 Sb
2.4476 2.4476 2.4476 Tl

Record 5
B3SbW SCAN PBEsol geometry; calculated total energy = -0.8969 Ha/atom; N(E_F) = 3.6 states/eV per cell; symmetry = Pm-3m (221); formation energy from raw total energies = 1.442 eV/atom
1.0
-0.6725 -1.9979 3.6561
-2.5012 -2.7683 -1.9728
3.3321 -2.4812 -0.7430
B Sb W
3 1 1
Cartesian
-0.3362 -0.9990 1.8281 B
1.6661 -1.2406 -0.3715 B
-1.2506 -1.3841 -0.9864 B
0.0792 -3.6237 0.4702 Sb
0.0000 0.0000 0.0000 W

Record 6
YBSb3 SCAN PBEsol geometry; calculated total energy = -1.0310 Ha/atom; N(E_F) = 3.9 states/eV per cell; symmetry = Pm-3m (221); formation energy from raw total energies = 1.356 eV/atom
1.0
5.6486 0.0000 0.0000
0.0000 5.6486 0.0000
0.0000 0.0000 5.6486
Sb B Y
3 1 1
Cartesian
0.0000 0.0000 2.8243 Sb
2.8243 0.0000 0.0000 Sb
0.0000 2.8243 0.0000 Sb
2.8243 2.8243 2.8243 B
0.0000 0.0000 0.0000 Y

Record 7
Zn3BSb SCAN PBEsol geometry; calculated total energy = -0.5693 Ha/atom; N(E_F) = 3.6 states/eV per cell; symmetry = Pm-3m (221); formation energy from raw total energies = 1.554 eV/atom
1.0
5.1142 0.0000 0.0000
0.0000 5.1142 0.0000
0.0000 0.0000 5.1142
Zn B Sb
3 1 1
Cartesian
2.5571 0.0000 0.0000 Zn
0.0000 2.5571 0.0000 Zn
0.0000 0.0000 2.5571 Zn
2.5571 2.5571 2.5571 B
0.0000 0.0000 0.0000 Sb

Record 8
ScB12 SCAN PBEsol geometry; calculated total energy = -0.3019 Ha/atom; N(E_F) = 0.4 states/eV per cell; formation enthalpy at 0 K = -0.262 eV per atom; symmetry = Fm-3m (225)
1.0
5.2170 0.0000 0.0000
2.6085 4.5180 0.0000
2.6085 1.5060 4.2597
B Sc
12 1
Cartesian
4.3343 4.5408 2.1298 B
6.9823 3.0120 2.1298 B
4.3343 3.5216 3.5712 B
3.4517 3.0120 2.1298 B
6.0996 4.5408 2.1298 B
6.0996 2.5024 0.6884 B
5.2170 1.9928 3.5712 B
4.3343 2.5024 0.6884 B
6.0996 3.5216 3.5712 B
4.3343 1.4832 2.1298 B
6.0996 1.4832 2.1298 B
5.2170 4.0312 0.6884 B
0.0000 0.0000 0.0000 Sc

Record 9
Sc2BSe SCAN PBEsol geometry; calculated total energy = -0.5273 Ha/atom; N(E_F) = 3.0 states/eV per cell; symmetry = Fm-3m (225); formation energy from raw total energies = -0.352 eV/atom
1.0
4.5012 0.0000 0.0000
2.2506 3.8982 0.0000
2.2506 1.2994 3.6752
Se B Sc
1 1 2
Cartesian
4.5012 2.5988 1.8376 Se
0.0000 0.0000 0.0000 B
2.2506 1.2994 0.9188 Sc
6.7519 3.8982 2.7564 Sc

Record 10
ScBW2Se SCAN PBEsol geometry; calculated total energy = -1.3100 Ha/atom; N(E_F) = 3.9 states/eV per cell; symmetry = P4/mmm (123); formation energy from raw total energies = 0.576 eV/atom
1.0
-2.5642 -2.9798 1.3134
3.2338 -2.5268 0.5805
0.4397 1.5874 4.4600
B W Sc Se
1 2 1 1
Cartesian
0.0000 0.0000 0.0000 B
-1.2821 -1.4899 0.6567 W
1.6169 -1.2634 0.2903 W
0.5547 -1.9596 3.1769 Sc
0.2199 0.7937 2.2300 Se

Record 11
ScSi2B2 SCAN PBEsol geometry; calculated total energy = -0.3556 Ha/atom; N(E_F) = 1.3 states/eV per cell; symmetry = I4/mmm (139); formation energy from raw total energies = 0.149 eV/atom
1.0
-3.2839 -1.9735 0.9538
1.9001 -1.7067 3.0108
-0.3885 4.7701 0.3604
B Si Sc
2 2 1
Cartesian
-2.1822 0.4783 1.6483 B
0.4099 0.6117 2.6768 B
-0.7536 2.0438 1.6341 Si
-1.0187 -0.9538 2.6909 Si
0.0000 0.0000 0.0000 Sc

Record 12
ScZn2SiB SCAN PBEsol geometry; calculated total energy = -0.4120 Ha/atom; N(E_F) = 2.2 states/eV per cell; symmetry = P4/mmm (123); formation energy from raw total energies = 0.532 eV/atom
1.0
-0.9195 -3.0598 1.9284
-2.0297 -1.8143 -3.8465
4.0914 -1.9966 -1.2171
Zn Si Sc B
2 1 1 1
Cartesian
2.0457 -0.9983 -0.6086 Zn
-1.0148 -0.9071 -1.9233 Zn
0.0000 0.0000 0.0000 Si
0.5711 -3.4353 -1.5676 Sc
-0.4598 -1.5299 0.9642 B

Record 13
Sr3ScB SCAN PBEsol geometry; calculated total energy = -0.5912 Ha/atom; N(E_F) = 6.1 states/eV per cell; formation enthalpy at 0 K = 1.610 eV per atom; symmetry = Pm-3m (221)
1.0
6.1003 0.0000 0.0000
0.0000 6.1003 0.0000
0.0000 0.0000 6.1003
B Sc Sr
1 1 3
Cartesian
3.0502 3.0502 3.0502 B
0.0000 0.0000 0.0000 Sc
0.0000 0.0000 3.0502 Sr
0.0000 3.0502 0.0000 Sr
3.0502 0.0000 0.0000 Sr

Record 14
SrScB3 SCAN PBEsol geometry; calculated total energy = -0.3440 Ha/atom; N(E_F) = 4.8 states/eV per cell; formation enthalpy at 0 K = 2.399 eV per atom; symmetry = Pm-3m (221)
1.0
-0.8070 0.7892 4.3229
2.3905 -3.6091 1.1051
3.6873 2.5125 0.2296
Sr B Sc
1 3 1
Cartesian
0.0000 0.0000 0.0000 Sr
-0.4035 0.3946 2.1614 B
1.1952 -1.8046 0.5526 B
1.8436 1.2563 0.1148 B
2.6354 -0.1537 2.8288 Sc